# PBE-GGA YZr2Pb, optimized geometry
# E_form   -0.070 eV per atom
# Spin magnetization   0.00 μB per formula unit
data_YZr2Pb
_chemical_formula_sum 'Y1 Zr2 Pb1'
_symmetry_space_group_name_H-M 'P 1 2/m 1'
_symmetry_Int_Tables_number 10
_cell_length_a 5.633
_cell_length_b 3.301
_cell_length_c 5.686
_cell_angle_alpha 90.00
_cell_angle_beta 108.47
_cell_angle_gamma 90.00
loop_
_symmetry_equiv_pos_as_xyz
'x,y,z'
'-x,-y,-z'
'-x,y,-z'
'x,-y,z'
loop_
_atom_site_label
_atom_site_fract_x
_atom_site_fract_y
_atom_site_fract_z
_atom_site_occupancy
Y1 0.000 0.000 0.000 1
Zr1 0.000 0.500 0.500 1
Zr2 0.500 0.000 0.500 1
Pb1 0.500 0.500 0.000 1